1.
Density functional theory data (PBE) for a geometry-optimized MnMo4P structure.

Values from the calculation:
The calculation puts the formation energy at 0.637 eV/atom.

a = 5.1767 Å, b = 5.1767 Å, c = 5.1767 Å
α = 60.00°, β = 60.00°, γ = 60.00°
Last column: nearest neighbours and their distance in Å.
Fractional coordinates of all 6 atoms:
Mn 0.0000 0.0000 0.0000  12 Mo 3.03, 4 P 3.17
Mo 0.1245 0.6252 0.6252  6 Mo 2.58-2.59
Mo 0.6252 0.1245 0.6252  6 Mo 2.58-2.59
Mo 0.6252 0.6252 0.1245  6 Mo 2.58-2.59
Mo 0.6252 0.6252 0.6252  6 Mo 2.58-2.59
P 0.2500 0.2500 0.2500  12 Mo 3.04, 4 Mn 3.17

2.
Density functional theory data (PBE) for a geometry-optimized MgMnCd2 structure.

Values from the calculation:
The calculation puts the formation energy at 0.151 eV/atom.

a = 4.2906 Å, b = 4.2906 Å, c = 8.4388 Å
α = 90.00°, β = 90.00°, γ = 90.00°
Last column: nearest neighbours and their distance in Å.
Fractional coordinates of all 8 atoms:
Mg 0.0000 0.0000 0.0000  8 Cd 3.01-3.03, 4 Mn 3.01
Mg 0.5000 0.5000 0.5000  8 Cd 3.01-3.03, 4 Mn 3.01
Mn 0.0000 0.5000 0.7500  8 Cd 3.01-3.03, 4 Mg 3.01
Mn 0.5000 0.0000 0.2500  8 Cd 3.01-3.03, 4 Mg 3.01
Cd 0.0000 0.0000 0.5000  4 Cd 3.01, 4 Mn 3.01, 4 Mg 3.03
Cd 0.0000 0.5000 0.2500  4 Cd 3.01, 4 Mg 3.01, 4 Mn 3.03
Cd 0.5000 0.0000 0.7500  4 Cd 3.01, 4 Mg 3.01, 4 Mn 3.03
Cd 0.5000 0.5000 0.0000  4 Cd 3.01, 4 Mn 3.01, 4 Mg 3.03

3.
Density functional theory data (PBE) for a geometry-optimized YGaI2N structure.

a = 6.2511 Å, b = 6.2511 Å, c = 4.1627 Å
α = 90.00°, β = 90.00°, γ = 90.00°
Last column: nearest neighbours and their distance in Å.
Fractional coordinates of all 5 atoms:
Y 0.0000 0.0000 0.0000  2 N 2.08
Ga 0.5000 0.5000 0.5000  8 I 3.76, 2 Ga 4.16
I 0.0000 0.5000 0.0000  2 Y 3.13
I 0.5000 0.0000 0.0000  2 Y 3.13
N 0.0000 0.0000 0.5000  2 Y 2.08

4.
Density functional theory data (PBE) for a geometry-optimized Pm2Er5Sc4 structure.

Values from the calculation:
The calculation puts the formation energy at 0.202 eV/atom.

a = 6.4593 Å, b = 6.4593 Å, c = 8.8496 Å
α = 104.01°, β = 104.01°, γ = 67.57°
Last column: nearest neighbours and their distance in Å.
Fractional coordinates of all 11 atoms:
Pm 0.1496 0.1496 0.1261  6 Er 3.30-3.56, 1 Pm 3.33, 4 Sc 3.36-3.60
Pm 0.8504 0.8504 0.8739  6 Er 3.30-3.56, 1 Pm 3.33, 4 Sc 3.36-3.60
Er 0.0000 0.0000 0.5000  4 Er 3.13, 2 Sc 3.49
Er 0.2163 0.6495 0.2185  2 Er 3.11-3.13, 5 Sc 3.30-3.46, 2 Pm 3.30-3.37
Er 0.3505 0.7837 0.7815  2 Er 3.11-3.13, 5 Sc 3.30-3.46, 2 Pm 3.30-3.37
Er 0.6495 0.2163 0.2185  2 Er 3.11-3.13, 5 Sc 3.30-3.46, 2 Pm 3.30-3.37
Er 0.7837 0.3505 0.7815  2 Er 3.11-3.13, 5 Sc 3.30-3.46, 2 Pm 3.30-3.37
Sc 0.3264 0.3264 0.8698  1 Sc 3.21, 6 Er 3.30-3.35, 1 Pm 3.36
Sc 0.3269 0.3269 0.5073  1 Sc 3.21, 1 Pm 3.36, 5 Er 3.36-3.49
Sc 0.6731 0.6731 0.4927  1 Sc 3.21, 1 Pm 3.36, 5 Er 3.36-3.49
Sc 0.6736 0.6736 0.1302  1 Sc 3.21, 6 Er 3.30-3.35, 1 Pm 3.36

5.
Density functional theory data (PBE) for a geometry-optimized Pm2TlO structure.

a = 3.6928 Å, b = 3.6928 Å, c = 23.5792 Å
α = 90.00°, β = 90.00°, γ = 120.00°
Last column: nearest neighbours and their distance in Å.
Fractional coordinates of all 12 atoms:
Pm 0.0000 0.0000 0.2235  3 O 2.52
Pm 0.0000 0.0000 0.7765  3 O 2.52
Pm 0.3333 0.6667 0.4431  3 O 2.52
Pm 0.3333 0.6667 0.8902  3 O 2.52
Pm 0.6667 0.3333 0.1098  3 O 2.52
Pm 0.6667 0.3333 0.5569  3 O 2.52
Tl 0.0000 0.0000 0.0000  6 Pm 3.35, 6 Tl 3.69
Tl 0.3333 0.6667 0.6667  6 Pm 3.35, 6 Tl 3.69
Tl 0.6667 0.3333 0.3333  6 Pm 3.35, 6 Tl 3.69
O 0.0000 0.0000 0.5000  6 Pm 2.52
O 0.3333 0.6667 0.1667  6 Pm 2.52
O 0.6667 0.3333 0.8333  6 Pm 2.52

6.
Density functional theory data (PBE) for a geometry-optimized AlIr3Se structure.

a = 4.5787 Å, b = 4.5787 Å, c = 4.5787 Å
α = 90.00°, β = 90.00°, γ = 90.00°
Last column: nearest neighbours and their distance in Å.
Fractional coordinates of all 5 atoms:
Al 0.0000 0.0000 0.0000  12 Ir 3.24
Ir 0.0000 0.5000 0.5000  2 Se 2.29
Ir 0.5000 0.0000 0.5000  2 Se 2.29
Ir 0.5000 0.5000 0.0000  2 Se 2.29
Se 0.5000 0.5000 0.5000  6 Ir 2.29

7.
Density functional theory data (PBE) for a geometry-optimized Sc3NbPt structure.

Values from the calculation:
The calculation puts the formation energy at 0.164 eV/atom.

a = 5.0275 Å, b = 5.0275 Å, c = 5.0275 Å
α = 90.00°, β = 90.00°, γ = 90.00°
Last column: nearest neighbours and their distance in Å.
Fractional coordinates of all 5 atoms:
Sc 0.0000 0.0000 0.5000  2 Pt 2.51
Sc 0.0000 0.5000 0.0000  2 Pt 2.51
Sc 0.5000 0.0000 0.0000  2 Pt 2.51
Nb 0.5000 0.5000 0.5000  12 Sc 3.55
Pt 0.0000 0.0000 0.0000  6 Sc 2.51

8.
Density functional theory data (PBE) for a geometry-optimized NaCdH2 structure.

a = 4.7272 Å, b = 4.7272 Å, c = 11.2867 Å
α = 90.00°, β = 90.00°, γ = 90.00°
Last column: nearest neighbours and their distance in Å.
Fractional coordinates of all 16 atoms:
Na 0.0000 0.0000 0.0000  4 H 2.38
Na 0.0000 0.5000 0.2500  4 H 2.38
Na 0.5000 0.0000 0.7500  4 H 2.38
Na 0.5000 0.5000 0.5000  4 H 2.38
Cd 0.0000 0.0000 0.5000  4 H 2.03
Cd 0.0000 0.5000 0.7500  4 H 2.03
Cd 0.5000 0.0000 0.2500  4 H 2.03
Cd 0.5000 0.5000 0.0000  4 H 2.03
H 0.1800 0.2500 0.6250  2 Cd 2.03
H 0.2500 0.6800 0.8750  2 Cd 2.03
H 0.2500 0.8200 0.3750  2 Cd 2.03
H 0.3200 0.2500 0.1250  2 Cd 2.03
H 0.6800 0.7500 0.1250  2 Cd 2.03
H 0.7500 0.1800 0.3750  2 Cd 2.03
H 0.7500 0.3200 0.8750  2 Cd 2.03
H 0.8200 0.7500 0.6250  2 Cd 2.03

9.
Density functional theory data (PBE) for a geometry-optimized ZrTaPt2 structure.

Values from the calculation:
The calculation puts the formation energy at -0.395 eV/atom.

a = 9.4275 Å, b = 2.9262 Å, c = 5.2241 Å
α = 90.00°, β = 99.59°, γ = 90.00°
Last column: nearest neighbours and their distance in Å.
Fractional coordinates of all 8 atoms:
Zr 0.0000 0.0000 0.0000  6 Pt 2.87-2.95, 2 Zr 2.93, 4 Ta 2.99
Zr 0.5000 0.5000 0.0000  6 Pt 2.87-2.95, 2 Zr 2.93, 4 Ta 2.99
Ta 0.0000 0.5000 0.5000  6 Pt 2.84-2.89, 2 Ta 2.93, 4 Zr 2.99
Ta 0.5000 0.0000 0.5000  6 Pt 2.84-2.89, 2 Ta 2.93, 4 Zr 2.99
Pt 0.2443 0.0000 0.7383  3 Ta 2.84-2.89, 3 Zr 2.87-2.95, 6 Pt 2.91-3.09
Pt 0.2557 0.5000 0.2617  3 Ta 2.84-2.89, 3 Zr 2.87-2.95, 6 Pt 2.91-3.09
Pt 0.7443 0.5000 0.7383  3 Ta 2.84-2.89, 3 Zr 2.87-2.95, 6 Pt 2.91-3.09
Pt 0.7557 0.0000 0.2617  3 Ta 2.84-2.89, 3 Zr 2.87-2.95, 6 Pt 2.91-3.09

10.
Density functional theory data (PBE) for a geometry-optimized Pr3Y6Tm structure.

Values from the calculation:
The calculation puts the formation energy at 0.256 eV/atom.

a = 6.9620 Å, b = 6.9620 Å, c = 6.9620 Å
α = 91.40°, β = 91.40°, γ = 91.40°
Last column: nearest neighbours and their distance in Å.
Fractional coordinates of all 10 atoms:
Pr 0.0000 0.0000 0.0000  2 Pr 2.94-2.95
Pr 0.2504 0.2504 0.2504  1 Tm 2.93, 1 Pr 2.94, 3 Y 3.26
Pr 0.7491 0.7491 0.7491  1 Tm 2.93, 1 Pr 2.95, 3 Y 3.26
Y 0.0791 0.7450 0.4243  2 Pr 3.26-3.52, 1 Tm 3.46
Y 0.2533 0.5742 0.9193  2 Pr 3.26-3.53, 1 Tm 3.46
Y 0.4243 0.0791 0.7450  2 Pr 3.26-3.52, 1 Tm 3.46
Y 0.5742 0.9193 0.2533  2 Pr 3.26-3.53, 1 Tm 3.46
Y 0.7450 0.4243 0.0791  2 Pr 3.26-3.52, 1 Tm 3.46
Y 0.9193 0.2533 0.5742  2 Pr 3.26-3.53, 1 Tm 3.46
Tm 0.4998 0.4998 0.4998  2 Pr 2.93

11.
Density functional theory data (PBE) for a geometry-optimized Sm2Cd3Ag4 structure.

Values from the calculation:
The calculation puts the formation energy at -0.188 eV/atom.

a = 9.0149 Å, b = 9.0149 Å, c = 8.1561 Å
α = 90.00°, β = 90.00°, γ = 141.48°
Last column: nearest neighbours and their distance in Å.
Fractional coordinates of all 18 atoms:
Sm 0.1007 0.8993 0.8999  7 Ag 3.25-3.45, 4 Cd 3.39-3.53
Sm 0.3993 0.6007 0.3999  7 Ag 3.25-3.45, 4 Cd 3.39-3.53
Sm 0.6007 0.3993 0.6001  7 Ag 3.25-3.45, 4 Cd 3.39-3.53
Sm 0.8993 0.1007 0.1001  7 Ag 3.25-3.45, 4 Cd 3.39-3.53
Cd 0.0000 0.0000 0.5000  6 Ag 2.77-2.86
Cd 0.0144 0.4856 0.7500  5 Ag 2.86-2.90, 2 Cd 2.97
Cd 0.4856 0.0144 0.2500  5 Ag 2.86-2.90, 2 Cd 2.97
Cd 0.5000 0.5000 0.0000  6 Ag 2.77-2.86
Cd 0.5144 0.9856 0.7500  5 Ag 2.86-2.90, 2 Cd 2.97
Cd 0.9856 0.5144 0.2500  5 Ag 2.86-2.90, 2 Cd 2.97
Ag 0.1678 0.8322 0.5213  5 Cd 2.86-2.90, 2 Ag 3.16
Ag 0.1823 0.3177 0.7500  3 Cd 2.77-2.86, 2 Ag 2.97
Ag 0.3177 0.1823 0.2500  3 Cd 2.77-2.86, 2 Ag 2.97
Ag 0.3322 0.6678 0.0213  5 Cd 2.86-2.90, 2 Ag 3.16
Ag 0.6678 0.3322 0.9787  5 Cd 2.86-2.90, 2 Ag 3.16
Ag 0.6823 0.8177 0.7500  3 Cd 2.77-2.86, 2 Ag 2.97
Ag 0.8177 0.6823 0.2500  3 Cd 2.77-2.86, 2 Ag 2.97
Ag 0.8322 0.1678 0.4787  5 Cd 2.86-2.90, 2 Ag 3.16

| no. | magnetic moment (μB/f.u.) | VASP energy (eV per atom) | DOS(E_F) (states/eV per cell) |
| --- | --- | --- | --- |
| 1 | 2.9 | -9.014 | 4.279 |
| 2 | 3.7 | -2.998 | 4.636 |
| 3 | 0.2 | -4.467 | 2.520 |
| 4 | 0.0 | -5.038 | 17.487 |
| 5 | 0.0 | -5.730 | 2.930 |
| 6 | 0.0 | -5.608 | 5.746 |
| 7 | 2.6 | -6.857 | 5.190 |
| 8 | 0.0 | -2.098 | 2.234 |
| 9 | 0.0 | -8.515 | 9.305 |
| 10 | 0.0 | -5.504 | 20.438 |
| 11 | 0.0 | -2.808 | 10.920 |